No. 1
{
  "formula": "HgH6N2Cl",
  "functional": "PBE-GGA",
  "state": "relaxed",
  "final_energy_ev_per_atom": -4.249,
  "m_tot_mub_per_atom": 0.00,
  "cell": [[4.985, -4.302, 0.000], [4.985, 4.302, 0.000], [0.000, 0.000, 5.716]],
  "species": ["Hg", "Hg", "H", "H", "H", "H", "H", "H", "H", "H", "H", "H", "H", "H", "N", "N", "N", "N", "Cl", "Cl"],
  "frac_coords": [[0.068, 0.932, 0.750], [0.932, 0.068, 0.250], [0.008, 0.525, 0.250], [0.205, 0.518, 0.604], [0.205, 0.518, 0.896], [0.475, 0.992, 0.250], [0.482, 0.795, 0.604], [0.482, 0.795, 0.896], [0.518, 0.205, 0.104], [0.518, 0.205, 0.396], [0.525, 0.008, 0.750], [0.795, 0.482, 0.104], [0.795, 0.482, 0.396], [0.992, 0.475, 0.750], [0.116, 0.553, 0.750], [0.447, 0.884, 0.750], [0.553, 0.116, 0.250], [0.884, 0.447, 0.250], [0.330, 0.670, 0.250], [0.670, 0.330, 0.750]]
}

No. 2
{
  "formula": "SrAuC2",
  "functional": "PBE-GGA",
  "state": "relaxed",
  "m_tot_mub_per_atom": 0.00,
  "relative_energy_ev_per_atom": 0.0000,
  "cell": [[2.578, -3.787, 0.000], [2.578, 3.787, 0.000], [-1.498, 0.000, 8.107]],
  "species": ["Sr", "Sr", "Au", "Au", "C", "C", "C", "C"],
  "frac_coords": [[0.074, 0.074, 0.257], [0.926, 0.926, 0.743], [0.319, 0.681, 0.000], [0.681, 0.319, 0.000], [0.120, 0.618, 0.480], [0.382, 0.880, 0.520], [0.618, 0.120, 0.480], [0.880, 0.382, 0.520]]
}